Computed, not measured: a relaxed PmZnAsO crystal at the GGA-PBE level of DFT.

M_tot = 0.01 Bohr magnetons per cell
offset from the most stable computed form = 0.0000 eV per atom
symmetry = P4/nmm, No. 129

abc: 4.024 4.024 8.992
angles: 90.00 90.00 90.00
Sites, in units of the cell vectors:
Pm  0.250  0.250  0.129
Pm  0.750  0.750  0.871
Zn  0.250  0.750  0.500
Zn  0.750  0.250  0.500
As  0.250  0.250  0.678
As  0.750  0.750  0.322
O  0.250  0.750  0.000
O  0.750  0.250  0.000

Computed, not measured: a relaxed PmZnAsO crystal at the GGA-PBE level of DFT.

M_tot = 0.02 Bohr magnetons per cell
offset from the most stable computed form = 1.3601 eV per atom
symmetry = P4/nmm, No. 129

abc: 4.392 4.392 9.358
angles: 90.00 90.00 90.00
Sites, in units of the cell vectors:
Pm  0.250  0.750  0.000
Pm  0.750  0.250  0.000
Zn  0.250  0.250  0.487
Zn  0.750  0.750  0.513
As  0.250  0.250  0.194
As  0.750  0.750  0.806
O  0.250  0.750  0.500
O  0.750  0.250  0.500

Computed, not measured: a relaxed PmZnAsO crystal at the GGA-PBE level of DFT.

M_tot = 0.00 Bohr magnetons per cell
offset from the most stable computed form = 0.2244 eV per atom
symmetry = Pmc2_1, No. 26

abc: 4.404 6.293 6.022
angles: 90.00 90.00 90.00
Sites, in units of the cell vectors:
Pm  0.000  0.246  0.000
Pm  0.000  0.754  0.500
Zn  0.500  0.362  0.614
Zn  0.500  0.638  0.114
As  0.000  0.226  0.497
As  0.000  0.774  0.997
O  0.500  0.343  0.964
O  0.500  0.657  0.464

Computed, not measured: a relaxed PmZnAsO crystal at the GGA-PBE level of DFT.

M_tot = 0.00 Bohr magnetons per cell
offset from the most stable computed form = 0.2123 eV per atom
symmetry = Pmc2_1, No. 26

abc: 4.983 4.133 7.008
angles: 90.00 90.00 90.00
Sites, in units of the cell vectors:
Pm  0.000  0.239  0.000
Pm  0.000  0.761  0.500
Zn  0.500  0.270  0.339
Zn  0.500  0.730  0.839
As  0.500  0.231  0.676
As  0.500  0.769  0.176
O  0.000  0.265  0.335
O  0.000  0.735  0.835

Computed, not measured: a relaxed PmZrAsO crystal at the GGA-PBE level of DFT.

M_tot = 0.01 Bohr magnetons per cell
offset from the most stable computed form = 0.2278 eV per atom
symmetry = Pmma, No. 51

abc: 5.216 4.115 7.806
angles: 90.00 90.00 90.00
Sites, in units of the cell vectors:
Pm  0.250  0.000  0.138
Pm  0.750  0.000  0.862
Zr  0.250  0.500  0.743
Zr  0.750  0.500  0.257
As  0.250  0.500  0.391
As  0.750  0.500  0.609
O  0.250  0.000  0.828
O  0.750  0.000  0.172

Computed, not measured: a relaxed PmZrAsO crystal at the GGA-PBE level of DFT.

M_tot = 0.00 Bohr magnetons per cell
offset from the most stable computed form = 0.0000 eV per atom
symmetry = P4/nmm, No. 129

abc: 4.226 4.226 8.978
angles: 90.00 90.00 90.00
Sites, in units of the cell vectors:
Pm  0.250  0.250  0.118
Pm  0.750  0.750  0.882
Zr  0.250  0.750  0.500
Zr  0.750  0.250  0.500
As  0.250  0.250  0.692
As  0.750  0.750  0.308
O  0.250  0.750  0.000
O  0.750  0.250  0.000

Computed, not measured: a relaxed PmZrAsO crystal at the GGA-PBE level of DFT.

M_tot = 0.02 Bohr magnetons per cell
offset from the most stable computed form = 0.5614 eV per atom
symmetry = P4/nmm, No. 129

abc: 4.129 4.129 8.702
angles: 90.00 90.00 90.00
Sites, in units of the cell vectors:
Pm  0.250  0.750  0.000
Pm  0.750  0.250  0.000
Zr  0.250  0.250  0.395
Zr  0.750  0.750  0.605
As  0.250  0.250  0.754
As  0.750  0.750  0.246
O  0.250  0.750  0.500
O  0.750  0.250  0.500

Computed, not measured: a relaxed PmZrAsO crystal at the GGA-PBE level of DFT.

M_tot = 0.01 Bohr magnetons per cell
offset from the most stable computed form = 0.2158 eV per atom
symmetry = Pmc2_1, No. 26

abc: 4.096 7.486 5.969
angles: 90.00 90.00 90.00
Sites, in units of the cell vectors:
Pm  0.000  0.220  0.000
Pm  0.000  0.780  0.500
Zr  0.500  0.392  0.557
Zr  0.500  0.608  0.057
As  0.000  0.170  0.495
As  0.000  0.830  0.995
O  0.500  0.349  0.906
O  0.500  0.651  0.406